(1)
VASP calculation (GGA-PBE) on a relaxed structure of GdDy2Mg3CdIn2.

## Properties
Total magnetization: 0.00 Bohr magnetons per cell
Space group: Amm2 (38)
DFT total energy: -28.211 eV for the cell shown

Unit cell a=4.6340 b=7.5634 c=7.5634 alpha=120.28 beta=90.00 gamma=90.00
Element x y z (fractional)
In  0.5000  0.6679  0.3328
In  0.5000  0.3328  0.6679
Mg  0.5000  0.9997  0.2408
Mg  0.5000  0.2408  0.9997
Mg  0.5000  0.7594  0.7594
Dy  0.0000  0.5741  0.0002
Dy  0.0000  0.0002  0.5741
Cd  0.0000  0.9987  0.9987
Gd  0.0000  0.4264  0.4264

(2)
VASP calculation (GGA-PBE) on a relaxed structure of Gd2DyMg3CdIn2.

## Properties
Total magnetization: 0.00 Bohr magnetons per cell
Space group: Amm2 (38)
DFT total energy: -28.306 eV for the cell shown

Unit cell a=4.6439 b=7.5581 c=7.5581 alpha=119.73 beta=90.00 gamma=90.00
Element x y z (fractional)
Gd  0.0000  0.0002  0.4260
Gd  0.0000  0.4260  0.0002
Mg  0.5000  0.7592  0.9997
Mg  0.5000  0.2410  0.2410
Mg  0.5000  0.9997  0.7592
Cd  0.0000  0.9988  0.9988
In  0.5000  0.6662  0.3345
In  0.5000  0.3345  0.6662
Dy  0.0000  0.5745  0.5745

(3)
VASP calculation (GGA-PBE) on a relaxed structure of GdDy2Zn3CdIn2.

## Properties
Total magnetization: 0.00 Bohr magnetons per cell
Space group: Amm2 (38)
DFT total energy: -27.357 eV for the cell shown

Unit cell a=4.5808 b=7.1978 c=7.1978 alpha=120.27 beta=90.00 gamma=90.00
Element x y z (fractional)
Zn  0.5000  0.7658  0.7658
Zn  0.5000  0.2336  0.0000
Zn  0.5000  0.0000  0.2336
Dy  0.0000  0.0010  0.5719
Dy  0.0000  0.5719  0.0010
In  0.5000  0.6682  0.3333
In  0.5000  0.3333  0.6682
Gd  0.0000  0.4287  0.4287
Cd  0.0000  0.9973  0.9973

(4)
VASP calculation (GGA-PBE) on a relaxed structure of GdDy2CdIr4.

## Properties
Total magnetization: 0.01 Bohr magnetons per cell
Space group: P4/mmm (123)
E_form: -4.360 eV per formula unit

Unit cell a=4.7847 b=4.7847 c=6.7802 alpha=90.00 beta=90.00 gamma=90.00
Element x y z (fractional)
Ir  0.0000  0.5000  0.7497
Ir  0.0000  0.5000  0.2503
Ir  0.5000  0.0000  0.7497
Ir  0.5000  0.0000  0.2503
Cd  0.0000  0.0000  0.5000
Dy  0.0000  0.0000  0.0000
Dy  0.5000  0.5000  0.5000
Gd  0.5000  0.5000  0.0000

(5)
VASP calculation (GGA-PBE) on a relaxed structure of Gd2DyCd3Ir2Pt.

## Properties
Total magnetization: 0.00 Bohr magnetons per cell
Space group: Amm2 (38)
E_form: -5.970 eV per formula unit

Unit cell a=3.9531 b=7.5174 c=7.5174 alpha=119.97 beta=90.00 gamma=90.00
Element x y z (fractional)
Cd  0.5000  0.7430  0.0000
Cd  0.5000  0.2568  0.2568
Cd  0.5000  0.0000  0.7430
Ir  0.5000  0.3350  0.6660
Ir  0.5000  0.6660  0.3350
Dy  0.0000  0.5916  0.5916
Pt  0.0000  0.9985  0.9985
Gd  0.0000  0.4090  0.0000
Gd  0.0000  0.0000  0.4090

(6)
VASP calculation (GGA-PBE) on a relaxed structure of GdDy2Cd3Ir2Pt.

## Properties
Total magnetization: 0.00 Bohr magnetons per cell
Space group: Amm2 (38)
E_form: -5.991 eV per formula unit

Unit cell a=3.9507 b=7.5038 c=7.5038 alpha=120.02 beta=90.00 gamma=90.00
Element x y z (fractional)
Cd  0.5000  0.2590  0.2590
Cd  0.5000  0.7413  0.0000
Cd  0.5000  0.0000  0.7413
Gd  0.0000  0.5922  0.5922
Ir  0.5000  0.6672  0.3318
Ir  0.5000  0.3318  0.6672
Dy  0.0000  0.4072  0.0000
Dy  0.0000  0.0000  0.4072
Pt  0.0000  0.0013  0.0013